An optimized crystal structure of TmThCuAg, computed with GGA-PBE.

The value obtained for the density of states at the Fermi level is 17.5 states/eV per cell. The volume is 23.5 A^3/atom. Its spin magnetization is 0.000 μB/f.u. The value obtained for the formation energy is -12 kJ/mol of atoms. Its final energy is -77.3 eV/cell. As for the crystal system: cubic.

Cell lengths 7.215, 7.215, 7.215 Å; angles 90.00, 90.00, 90.00 degrees
Space group F-43m (No. 216)
Symmetry-distinct sites (fractional):
Tm (0.000, 0.000, 0.000) [4 per cell]
Th (0.000, 0.000, 0.500) [4 per cell]
Cu (0.250, 0.250, 0.750) [4 per cell]
Ag (0.250, 0.250, 0.250) [4 per cell]